No. 1
Crystalline Li4NbCo5O12 at its relaxed geometry. Source: Alexandria via LeMat-Bulk, functional PBE+U.

Fermi-level density of states   0.24 states/eV per atom
E   -6.13 eV per atom

The structure in CIF format:
```
data_Li4NbCo5O12
_cell_length_a 5.109
_cell_length_b 8.543
_cell_length_c 10.267
_cell_angle_alpha 90.00
_cell_angle_beta 104.34
_cell_angle_gamma 90.00
_space_group_name_H-M_alt 'C 1 2/m 1'
_space_group_IT_number 12
loop_
_space_group_symop_operation_xyz
'x,y,z'
'-x,-y,-z'
'-x,y,-z'
'x,-y,z'
'x+1/2,y+1/2,z'
'-x+1/2,-y+1/2,-z'
'-x+1/2,y+1/2,-z'
'x+1/2,-y+1/2,z'
loop_
_atom_site_label
_atom_site_type_symbol
_atom_site_fract_x
_atom_site_fract_y
_atom_site_fract_z
Li1 Li 0.213 0.169 0.276
Nb1 Nb 0.000 0.500 0.000
Co1 Co 0.000 0.165 0.500
Co2 Co 0.000 0.166 0.000
Co3 Co 0.000 0.500 0.500
O1 O 0.088 0.329 0.393
O2 O 0.125 0.000 0.400
O3 O 0.211 0.000 0.107
O4 O 0.226 0.326 0.106
```



No. 2
Crystalline BaNiRhO4 at its relaxed geometry. Source: Alexandria via LeMat-Bulk, functional PBE+U.

Fermi-level density of states   0.27 states/eV per atom
E   -5.63 eV per atom

The structure in CIF format:
```
data_BaNiRhO4
_cell_length_a 5.692
_cell_length_b 5.398
_cell_length_c 6.606
_cell_angle_alpha 90.00
_cell_angle_beta 91.76
_cell_angle_gamma 90.00
_space_group_name_H-M_alt 'P 1 21/m 1'
_space_group_IT_number 11
loop_
_space_group_symop_operation_xyz
'x,y,z'
'-x,-y,-z'
'-x,y+1/2,-z'
'x,-y+1/2,z'
loop_
_atom_site_label
_atom_site_type_symbol
_atom_site_fract_x
_atom_site_fract_y
_atom_site_fract_z
Ba1 Ba 0.249 0.250 0.403
Ni1 Ni 0.173 0.250 0.869
Rh1 Rh 0.331 0.750 0.052
O1 O 0.040 0.750 0.902
O2 O 0.125 0.750 0.305
O3 O 0.432 0.018 0.804
```